Crystalline Pm3Ho6Tm at its relaxed geometry. Source: the Alexandria database, functional GGA-PBE.

a b c (Å): 6.154 6.164 9.403
angles (deg): 70.91 70.96 80.41
Atoms (fractional coordinates):
Pm: 0.000 0.000 0.000
Pm: 0.001 0.601 0.797
Pm: 0.999 0.399 0.203
Ho: 0.000 0.201 0.598
Ho: 0.000 0.799 0.402
Ho: 0.499 0.098 0.302
Ho: 0.499 0.699 0.101
Ho: 0.501 0.301 0.899
Ho: 0.501 0.902 0.698
Tm: 0.500 0.500 0.500

Computed properties:
DOS(E_F) ... 13.566 states/eV per cell
Polymorph energy (0 for the lowest one) ... 0 meV/atom
Energy of formation ... 18 kJ/mol of formula units
Space-group type ... P-1, No. 2


Crystalline AlInCl at its relaxed geometry. Source: the Alexandria database, functional GGA-PBE.

a b c (Å): 4.978 4.978 3.297
angles (deg): 90.00 90.00 120.00
Atoms (fractional coordinates):
Al: 0.000 0.000 0.000
In: 0.333 0.667 0.502
Cl: 0.667 0.333 0.998

Computed properties:
DOS(E_F) ... 1.631 states/eV per cell
Polymorph energy (0 for the lowest one) ... 231 meV/atom
Space-group type ... P3m1, No. 156
E_form (uncorrected) ... -0.099 eV/atom


Crystalline V5Ir4Ru at its relaxed geometry. Source: the Alexandria database, functional GGA-PBE.

a b c (Å): 2.761 2.761 18.237
angles (deg): 90.00 90.00 90.00
Atoms (fractional coordinates):
V: 0.000 0.000 0.000
V: 0.000 0.000 0.201
V: 0.000 0.000 0.402
V: 0.000 0.000 0.598
V: 0.000 0.000 0.799
Ir: 0.500 0.500 0.101
Ir: 0.500 0.500 0.303
Ir: 0.500 0.500 0.697
Ir: 0.500 0.500 0.899
Ru: 0.500 0.500 0.500

Computed properties:
DOS(E_F) ... 12.127 states/eV per cell
Energy of formation ... -409 kJ/mol of formula units
Space-group type ... P4/mmm, No. 123


Crystalline TcH4NO4 at its relaxed geometry. Source: the Alexandria database, functional GGA-PBE.

a b c (Å): 7.522 7.522 7.522
angles (deg): 130.12 130.12 73.21
Atoms (fractional coordinates):
Tc: 0.375 0.125 0.250
Tc: 0.625 0.875 0.750
H: 0.053 0.639 0.341
H: 0.139 0.298 0.586
H: 0.202 0.288 0.841
H: 0.212 0.553 0.914
H: 0.788 0.447 0.086
H: 0.798 0.712 0.159
H: 0.861 0.702 0.414
H: 0.947 0.361 0.659
N: 0.125 0.375 0.750
N: 0.875 0.625 0.250
O: 0.188 0.241 0.344
O: 0.259 0.104 0.947
O: 0.343 0.688 0.447
O: 0.396 0.843 0.156
O: 0.604 0.157 0.844
O: 0.657 0.312 0.553
O: 0.741 0.896 0.053
O: 0.812 0.759 0.656

Computed properties:
DOS(E_F) ... 0.000 states/eV per cell
E_tot ... -6.20 eV per atom
Space-group type ... I4_1/a, No. 88


Crystalline Lu2HgGe at its relaxed geometry. Source: the Alexandria database, functional GGA-PBE.

a b c (Å): 3.628 3.628 6.971
angles (deg): 90.00 90.00 90.00
Atoms (fractional coordinates):
Lu: 0.000 0.000 0.239
Lu: 0.000 0.000 0.761
Hg: 0.500 0.500 0.500
Ge: 0.500 0.500 0.000

Computed properties:
DOS(E_F) ... 2.262 states/eV per cell
Energy of formation ... -203 kJ/mol of formula units
Space-group type ... P4/mmm, No. 123


Crystalline YTaTl2 at its relaxed geometry. Source: the Alexandria database, functional GGA-PBE.

a b c (Å): 11.122 11.122 11.122
angles (deg): 156.67 156.67 33.23
Atoms (fractional coordinates):
Y: 0.000 0.000 0.000
Y: 0.750 0.250 0.500
Ta: 0.250 0.750 0.500
Ta: 0.500 0.500 0.000
Tl: 0.153 0.625 0.028
Tl: 0.375 0.403 0.528
Tl: 0.597 0.125 0.972
Tl: 0.875 0.847 0.472

Computed properties:
DOS(E_F) ... 10.712 states/eV per cell
Energy of formation ... 255 kJ/mol of formula units
Space-group type ... I-42d, No. 122